[1]
MgGaPb2: relaxed, PBE.

Properties
The value obtained for the final energy is -11.96 eV for the cell shown. For the total magnetization, the calculation gives 0.000 μB/f.u. The calculation puts the energy above the most stable polymorph in this dataset at 5 meV per atom. The formation enthalpy at 0 K comes out at 0.019 eV per atom. Its volume is 26.0 Å³ per atom.

CIF file:
```
data_MgGaPb2
_cell_length_a 3.722
_cell_length_b 3.722
_cell_length_c 7.510
_cell_angle_alpha 90.00
_cell_angle_beta 90.00
_cell_angle_gamma 90.00
_symmetry_space_group_name_H-M 'P 4/m m m'
_symmetry_Int_Tables_number 123
_symmetry_space_group_name_Hall '-P 4 2'
loop_
_atom_site_label
_atom_site_type_symbol
_atom_site_fract_x
_atom_site_fract_y
_atom_site_fract_z
Mg1 Mg 0.000 0.000 0.000
Ga1 Ga 0.000 0.000 0.500
Pb1 Pb 0.500 0.500 0.249
```

---

[2]
CaPr2Nd: relaxed, PBE.

Properties
The value obtained for the final energy is -16.06 eV for the cell shown. For the total magnetization, the calculation gives 0.000 μB/f.u. The calculation puts the energy above the most stable polymorph in this dataset at 36 meV per atom. The formation enthalpy at 0 K comes out at 0.066 eV per atom. Its volume is 36.5 Å³ per atom.

CIF file:
```
data_CaPr2Nd
_cell_length_a 5.280
_cell_length_b 5.280
_cell_length_c 5.236
_cell_angle_alpha 90.00
_cell_angle_beta 90.00
_cell_angle_gamma 90.00
_symmetry_space_group_name_H-M 'P 4/m m m'
_symmetry_Int_Tables_number 123
_symmetry_space_group_name_Hall '-P 4 2'
loop_
_atom_site_label
_atom_site_type_symbol
_atom_site_fract_x
_atom_site_fract_y
_atom_site_fract_z
Ca1 Ca 0.000 0.000 0.000
Pr1 Pr 0.000 0.500 0.500
Nd1 Nd 0.500 0.500 0.000
```

---

[3]
Ho3In3Ni2: relaxed, PBE.

Properties
The value obtained for the final energy is -74.38 eV for the cell shown. For the total magnetization, the calculation gives 0.000 μB/f.u. The formation enthalpy at 0 K comes out at -0.460 eV per atom. Its volume is 22.4 Å³ per atom.

CIF file:
```
data_Ho3In3Ni2
_cell_length_a 16.791
_cell_length_b 4.346
_cell_length_c 4.994
_cell_angle_alpha 90.00
_cell_angle_beta 100.78
_cell_angle_gamma 90.00
_symmetry_space_group_name_H-M 'C 1 2/m 1'
_symmetry_Int_Tables_number 12
loop_
_symmetry_equiv_pos_as_xyz
'x,y,z'
'-x,-y,-z'
'-x,y,-z'
'x,-y,z'
'x+1/2,y+1/2,z'
'-x+1/2,-y+1/2,-z'
'-x+1/2,y+1/2,-z'
'x+1/2,-y+1/2,z'
loop_
_atom_site_label
_atom_site_type_symbol
_atom_site_fract_x
_atom_site_fract_y
_atom_site_fract_z
Ho1 Ho 0.000 0.000 0.000
Ho2 Ho 0.167 0.000 0.598
In1 In 0.000 0.500 0.500
In2 In 0.138 0.500 0.086
Ni1 Ni 0.228 0.000 0.130
```

---

[4]
CoN2Cl: relaxed, PBE.

Properties
The value obtained for the final energy is -86.19 eV for the cell shown. For the total magnetization, the calculation gives 0.000 μB/f.u. The calculation puts the uncorrected formation energy at 1014 meV per atom. The calculation puts the energy above the most stable polymorph in this dataset at 175 meV per atom. Its volume is 13.6 Å³ per atom.

CIF file:
```
data_CoN2Cl
_cell_length_a 5.205
_cell_length_b 5.205
_cell_length_c 8.026
_cell_angle_alpha 90.00
_cell_angle_beta 90.00
_cell_angle_gamma 90.00
_symmetry_space_group_name_H-M 'I -4 2 d'
_symmetry_Int_Tables_number 122
_symmetry_space_group_name_Hall 'I -4 2bw'
loop_
_atom_site_label
_atom_site_type_symbol
_atom_site_fract_x
_atom_site_fract_y
_atom_site_fract_z
Co1 Co 0.000 0.000 0.000
N1 N 0.111 0.250 0.125
Cl1 Cl 0.000 0.000 0.500
```

---

[5]
HoSbH: relaxed, PBE.

Properties
The value obtained for the final energy is -53.69 eV for the cell shown. For the total magnetization, the calculation gives 0.000 μB/f.u. The calculation puts the energy above the most stable polymorph in this dataset at 269 meV per atom. Its volume is 20.8 Å³ per atom.

CIF file:
```
data_HoSbH
_cell_length_a 4.239
_cell_length_b 4.239
_cell_length_c 13.855
_cell_angle_alpha 90.00
_cell_angle_beta 90.00
_cell_angle_gamma 90.00
_symmetry_space_group_name_H-M 'I 4/m m m'
_symmetry_Int_Tables_number 139
_symmetry_space_group_name_Hall '-I 4 2'
loop_
_atom_site_label
_atom_site_type_symbol
_atom_site_fract_x
_atom_site_fract_y
_atom_site_fract_z
Ho1 Ho 0.000 0.000 0.170
Sb1 Sb 0.000 0.500 0.000
H1 H 0.000 0.500 0.250
```

---

[6]
Pm2PrNdS4: relaxed, PBE.

Properties
The value obtained for the final energy is -207.01 eV for the cell shown. For the total magnetization, the calculation gives 0.000 μB/f.u. The calculation puts the uncorrected formation energy at -2024 meV per atom. Its volume is 23.7 Å³ per atom.

CIF file:
```
data_Pm2PrNdS4
_cell_length_a 8.118
_cell_length_b 8.129
_cell_length_c 11.488
_cell_angle_alpha 90.00
_cell_angle_beta 90.00
_cell_angle_gamma 90.00
_symmetry_space_group_name_H-M 'I m m a'
_symmetry_Int_Tables_number 74
_symmetry_space_group_name_Hall '-I 2b 2'
loop_
_atom_site_label
_atom_site_type_symbol
_atom_site_fract_x
_atom_site_fract_y
_atom_site_fract_z
Pm1 Pm 0.000 0.000 0.000
Pm2 Pm 0.250 0.250 0.250
Pr1 Pr 0.250 0.250 0.750
Nd1 Nd 0.000 0.000 0.500
S1 S 0.000 0.005 0.249
S2 S 0.248 0.250 0.002
```

---

[7]
NbAlCo3: relaxed, PBE.

Properties
The value obtained for the final energy is -28.74 eV for the cell shown. For the total magnetization, the calculation gives 0.000 μB/f.u. The calculation puts the energy above the most stable polymorph in this dataset at 498 meV per atom. The formation enthalpy at 0 K comes out at 1.277 eV per atom. Its volume is 17.2 Å³ per atom.

CIF file:
```
data_NbAlCo3
_cell_length_a 4.418
_cell_length_b 4.418
_cell_length_c 4.418
_cell_angle_alpha 90.00
_cell_angle_beta 90.00
_cell_angle_gamma 90.00
_symmetry_space_group_name_H-M 'P m -3 m'
_symmetry_Int_Tables_number 221
_symmetry_space_group_name_Hall '-P 4 2 3'
loop_
_atom_site_label
_atom_site_type_symbol
_atom_site_fract_x
_atom_site_fract_y
_atom_site_fract_z
Nb1 Nb 0.000 0.000 0.000
Al1 Al 0.500 0.500 0.500
Co1 Co 0.000 0.000 0.500
```

---

[8]
KLiSb2: relaxed, PBE.

Properties
The value obtained for the final energy is -25.16 eV for the cell shown. For the total magnetization, the calculation gives 0.000 μB/f.u. The calculation puts the uncorrected formation energy at -331 meV per atom. The calculation puts the energy above the most stable polymorph in this dataset at 50 meV per atom. Its volume is 29.4 Å³ per atom.

CIF file:
```
data_KLiSb2
_cell_length_a 4.610
_cell_length_b 3.292
_cell_length_c 15.473
_cell_angle_alpha 90.00
_cell_angle_beta 90.00
_cell_angle_gamma 90.00
_symmetry_space_group_name_H-M 'A m m 2'
_symmetry_Int_Tables_number 38
loop_
_symmetry_equiv_pos_as_xyz
'x,y,z'
'-x,-y,z'
'-x,y,z'
'x,-y,z'
'x,y+1/2,z+1/2'
'-x,-y+1/2,z+1/2'
'-x,y+1/2,z+1/2'
'x,-y+1/2,z+1/2'
loop_
_atom_site_label
_atom_site_type_symbol
_atom_site_fract_x
_atom_site_fract_y
_atom_site_fract_z
K1 K 0.000 0.000 0.000
Li1 Li 0.000 0.000 0.244
Sb1 Sb 0.500 0.000 0.643
Sb2 Sb 0.500 0.000 0.831
```

---

[9]
NiTe2PN: relaxed, PBE.

Properties
The value obtained for the final energy is -22.47 eV for the cell shown. For the total magnetization, the calculation gives 0.000 μB/f.u. The calculation puts the uncorrected formation energy at 666 meV per atom. The calculation puts the energy above the most stable polymorph in this dataset at 0 meV per atom. Its volume is 18.5 Å³ per atom.

CIF file:
```
data_NiTe2PN
_cell_length_a 5.340
_cell_length_b 5.340
_cell_length_c 3.236
_cell_angle_alpha 90.00
_cell_angle_beta 90.00
_cell_angle_gamma 90.00
_symmetry_space_group_name_H-M 'P 4/m m m'
_symmetry_Int_Tables_number 123
_symmetry_space_group_name_Hall '-P 4 2'
loop_
_atom_site_label
_atom_site_type_symbol
_atom_site_fract_x
_atom_site_fract_y
_atom_site_fract_z
Ni1 Ni 0.000 0.000 0.000
Te1 Te 0.000 0.500 0.500
P1 P 0.500 0.500 0.500
N1 N 0.500 0.500 0.000
```

---

[10]
KTl2GeF8: relaxed, PBE.

Properties
The value obtained for the final energy is -52.38 eV for the cell shown. For the total magnetization, the calculation gives 0.000 μB/f.u. The calculation puts the uncorrected formation energy at -2247 meV per atom. Its volume is 17.1 Å³ per atom.

CIF file:
```
data_KTl2GeF8
_cell_length_a 5.107
_cell_length_b 5.701
_cell_length_c 7.048
_cell_angle_alpha 89.45
_cell_angle_beta 86.35
_cell_angle_gamma 89.79
_symmetry_space_group_name_H-M 'P -1'
_symmetry_Int_Tables_number 2
loop_
_symmetry_equiv_pos_as_xyz
'x,y,z'
'-x,-y,-z'
loop_
_atom_site_label
_atom_site_type_symbol
_atom_site_fract_x
_atom_site_fract_y
_atom_site_fract_z
K1 K 0.000 0.000 0.000
Tl1 Tl 0.477 0.497 0.279
Ge1 Ge 0.000 0.000 0.500
F1 F 0.102 0.768 0.667
F2 F 0.107 0.230 0.662
F3 F 0.314 0.996 0.367
F4 F 0.491 0.271 0.000
```

---

[11]
La4TeAs2Se: relaxed, PBE.

Properties
The value obtained for the final energy is -49.48 eV for the cell shown. For the total magnetization, the calculation gives 0.000 μB/f.u. The calculation puts the uncorrected formation energy at -1730 meV per atom. Its volume is 30.5 Å³ per atom.

CIF file:
```
data_La4TeAs2Se
_cell_length_a 7.622
_cell_length_b 4.399
_cell_length_c 7.700
_cell_angle_alpha 90.00
_cell_angle_beta 109.28
_cell_angle_gamma 90.00
_symmetry_space_group_name_H-M 'P 1 2/m 1'
_symmetry_Int_Tables_number 10
loop_
_symmetry_equiv_pos_as_xyz
'x,y,z'
'-x,-y,-z'
'-x,y,-z'
'x,-y,z'
loop_
_atom_site_label
_atom_site_type_symbol
_atom_site_fract_x
_atom_site_fract_y
_atom_site_fract_z
La1 La 0.237 0.000 0.230
La2 La 0.248 0.500 0.765
Te1 Te 0.500 0.500 0.500
As1 As 0.000 0.500 0.000
As2 As 0.500 0.000 0.000
Se1 Se 0.000 0.000 0.500
```

---

[12]
Dy2YErP4: relaxed, PBE.

Properties
The value obtained for the final energy is -54.81 eV for the cell shown. For the total magnetization, the calculation gives 0.000 μB/f.u. The formation enthalpy at 0 K comes out at -1.618 eV per atom. Its volume is 22.6 Å³ per atom.

CIF file:
```
data_Dy2YErP4
_cell_length_a 6.925
_cell_length_b 4.000
_cell_length_c 6.926
_cell_angle_alpha 90.00
_cell_angle_beta 109.47
_cell_angle_gamma 90.00
_symmetry_space_group_name_H-M 'P 1 2/m 1'
_symmetry_Int_Tables_number 10
loop_
_symmetry_equiv_pos_as_xyz
'x,y,z'
'-x,-y,-z'
'-x,y,-z'
'x,-y,z'
loop_
_atom_site_label
_atom_site_type_symbol
_atom_site_fract_x
_atom_site_fract_y
_atom_site_fract_z
Dy1 Dy 0.000 0.000 0.000
Dy2 Dy 0.000 0.500 0.500
Y1 Y 0.500 0.000 0.500
Er1 Er 0.500 0.500 0.000
P1 P 0.250 0.500 0.249
P2 P 0.251 0.000 0.752
```

---

[13]
SmTm3Cd: relaxed, PBE.

Properties
The value obtained for the final energy is -37.42 eV for the cell shown. For the total magnetization, the calculation gives 0.001 μB/f.u. The calculation puts the energy above the most stable polymorph in this dataset at 170 meV per atom. The formation enthalpy at 0 K comes out at 0.068 eV per atom. Its volume is 30.8 Å³ per atom.

CIF file:
```
data_SmTm3Cd
_cell_length_a 3.732
_cell_length_b 8.029
_cell_length_c 10.441
_cell_angle_alpha 90.00
_cell_angle_beta 100.29
_cell_angle_gamma 90.00
_symmetry_space_group_name_H-M 'P 1 21/m 1'
_symmetry_Int_Tables_number 11
loop_
_symmetry_equiv_pos_as_xyz
'x,y,z'
'-x,-y,-z'
'-x,y+1/2,-z'
'x,-y+1/2,z'
loop_
_atom_site_label
_atom_site_type_symbol
_atom_site_fract_x
_atom_site_fract_y
_atom_site_fract_z
Sm1 Sm 0.019 0.250 0.038
Tm1 Tm 0.188 0.250 0.378
Tm2 Tm 0.399 0.039 0.798
Cd1 Cd 0.191 0.750 0.383
```